DFT (PBE-GGA) results for a geometry-optimized SiPS3 structure.

Cell lengths 4.4575, 4.4575, 4.4575 Å; angles 90.00, 90.00, 90.00 degrees
Last column: nearest neighbours and their distance in Å.
Fractional coordinates of all 5 atoms:
1 Si 0.0000 0.0000 0.0000  6 S 2.23
2 P 0.5000 0.5000 0.5000  12 S 3.15
3 S 0.0000 0.0000 0.5000  2 Si 2.23
4 S 0.0000 0.5000 0.0000  2 Si 2.23
5 S 0.5000 0.0000 0.0000  2 Si 2.23

Summary:
The value obtained for the raw formation energy is 3.21 eV per formula unit. The value obtained for the size of the total moment is 0.000 μB/f.u. As for the density of states at the Fermi level: 0.489 states/eV/atom. Its energy relative to the lowest polymorph listed for this composition is 946 meV per atom. Its space group is Pm-3m (221). As for the total energy: -4.00 eV/atom.


DFT (PBE-GGA) results for a geometry-optimized CeGdMnCu structure.

Cell lengths 4.9594, 4.9594, 4.9594 Å; angles 60.00, 60.00, 60.00 degrees
Last column: nearest neighbours and their distance in Å.
Fractional coordinates of all 4 atoms:
1 Ce 0.0000 0.0000 0.0000  4 Mn 3.04, 4 Cu 3.04
2 Gd 0.5000 0.5000 0.5000  4 Mn 3.04, 4 Cu 3.04
3 Mn 0.7500 0.7500 0.7500  4 Ce 3.04, 4 Gd 3.04
4 Cu 0.2500 0.2500 0.2500  4 Gd 3.04, 4 Ce 3.04

Summary:
The value obtained for the size of the total moment is 8.884 μB/f.u. As for the density of states at the Fermi level: 1.946 states/eV/atom. Its energy relative to the elements is 0.5 eV/f.u. Its space group is F-43m (216). As for the total energy: -8.20 eV/atom.


DFT (PBE-GGA) results for a geometry-optimized YIn2Pt structure.

Cell lengths 3.4587, 3.4587, 7.4027 Å; angles 90.00, 90.00, 90.00 degrees
Last column: nearest neighbours and their distance in Å.
Fractional coordinates of all 4 atoms:
1 Y 0.0000 0.0000 0.0000  8 In 3.27, 4 Y 3.46
2 In 0.5000 0.5000 0.2932  4 Pt 2.89, 1 In 3.06
3 In 0.5000 0.5000 0.7068  4 Pt 2.89, 1 In 3.06
4 Pt 0.0000 0.0000 0.5000  8 In 2.89

Summary:
The value obtained for the size of the total moment is 0.428 μB/f.u. As for the density of states at the Fermi level: 0.609 states/eV/atom. Its energy relative to the elements is -1.9 eV/f.u. Its space group is P4/mmm (123). As for the total energy: -4.98 eV/atom.


DFT (PBE-GGA) results for a geometry-optimized Ba2In6GaAu structure.

Cell lengths 8.0784, 9.8215, 7.7800 Å; angles 90.00, 90.00, 90.00 degrees
Last column: nearest neighbours and their distance in Å.
Fractional coordinates of all 20 atoms:
1 Ba 0.2500 0.0114 0.2435  1 Au 3.42, 1 Ga 3.49, 4 In 3.78-3.79
2 Ba 0.2500 0.4886 0.2435  1 Au 3.42, 1 Ga 3.49, 4 In 3.78-3.79
3 Ba 0.7500 0.5114 0.7565  1 Au 3.42, 1 Ga 3.49, 4 In 3.78-3.79
4 Ba 0.7500 0.9886 0.7565  1 Au 3.42, 1 Ga 3.49, 4 In 3.78-3.79
5 In 0.0623 0.2500 0.9031  1 Ga 2.80, 1 In 3.03, 1 Au 3.04
6 In 0.0661 0.7500 0.5589  1 Au 2.73, 1 In 2.97
7 In 0.2500 0.5103 0.7461  1 Ga 2.80, 1 Au 2.92
8 In 0.2500 0.9897 0.7461  1 Ga 2.80, 1 Au 2.92
9 In 0.4339 0.7500 0.5589  1 Au 2.73, 1 In 2.97
10 In 0.4377 0.2500 0.9031  1 Ga 2.80, 1 In 3.03, 1 Au 3.04
11 In 0.5623 0.7500 0.0969  1 Ga 2.80, 1 In 3.03, 1 Au 3.04
12 In 0.5661 0.2500 0.4411  1 Au 2.73, 1 In 2.97
13 In 0.7500 0.0103 0.2539  1 Ga 2.80, 1 Au 2.92
14 In 0.7500 0.4897 0.2539  1 Ga 2.80, 1 Au 2.92
15 In 0.9339 0.2500 0.4411  1 Au 2.73, 1 In 2.97
16 In 0.9377 0.7500 0.0969  1 Ga 2.80, 1 In 3.03, 1 Au 3.04
17 Ga 0.2500 0.7500 0.9404  4 In 2.80
18 Ga 0.7500 0.2500 0.0596  4 In 2.80
19 Au 0.2500 0.2500 0.5637  6 In 2.73-3.04
20 Au 0.7500 0.7500 0.4363  6 In 2.73-3.04

Summary:
The value obtained for the size of the total moment is 0.000 μB/f.u. As for the density of states at the Fermi level: 0.472 states/eV/atom. Its energy relative to the elements is -2.9 eV/f.u. Its space group is Pmmn (59). As for the total energy: -2.95 eV/atom.


DFT (PBE-GGA) results for a geometry-optimized Pr4Nd5Sm4 structure.

Cell lengths 9.7475, 9.7475, 9.7475 Å; angles 94.04, 94.04, 149.20 degrees
Last column: nearest neighbours and their distance in Å.
Fractional coordinates of all 13 atoms:
1 Pr 0.0775 0.3834 0.4610  4 Sm 3.67-3.69, 3 Nd 3.67-3.70, 5 Pr 3.69-3.72
2 Pr 0.3834 0.9225 0.3059  4 Sm 3.67-3.69, 3 Nd 3.67-3.70, 5 Pr 3.69-3.72
3 Pr 0.6166 0.0775 0.6941  4 Sm 3.67-3.69, 3 Nd 3.67-3.70, 5 Pr 3.69-3.72
4 Pr 0.9225 0.6166 0.5390  4 Sm 3.67-3.69, 3 Nd 3.67-3.70, 5 Pr 3.69-3.72
5 Nd 0.0000 0.0000 0.0000  8 Nd 3.67, 4 Sm 3.69
6 Nd 0.3086 0.5393 0.8478  5 Sm 3.66-3.68, 4 Nd 3.67, 3 Pr 3.67-3.70
7 Nd 0.4607 0.3086 0.7693  5 Sm 3.66-3.68, 4 Nd 3.67, 3 Pr 3.67-3.70
8 Nd 0.5393 0.6914 0.2307  5 Sm 3.66-3.68, 4 Nd 3.67, 3 Pr 3.67-3.70
9 Nd 0.6914 0.4607 0.1522  5 Sm 3.66-3.68, 4 Nd 3.67, 3 Pr 3.67-3.70
10 Sm 0.1540 0.7692 0.9232  6 Nd 3.66-3.69, 4 Pr 3.67-3.69, 2 Sm 3.67
11 Sm 0.2308 0.1540 0.3848  6 Nd 3.66-3.69, 4 Pr 3.67-3.69, 2 Sm 3.67
12 Sm 0.7692 0.8460 0.6152  6 Nd 3.66-3.69, 4 Pr 3.67-3.69, 2 Sm 3.67
13 Sm 0.8460 0.2308 0.0768  6 Nd 3.66-3.69, 4 Pr 3.67-3.69, 2 Sm 3.67

Summary:
The value obtained for the size of the total moment is 0.000 μB/f.u. As for the density of states at the Fermi level: 1.537 states/eV/atom. Its energy relative to the elements is 0.2 eV/f.u. Its space group is I4/m (87). As for the total energy: -4.74 eV/atom.


DFT (PBE-GGA) results for a geometry-optimized CoHgPt2 structure.

Cell lengths 4.7329, 4.7329, 2.9004 Å; angles 90.00, 90.00, 90.00 degrees
Last column: nearest neighbours and their distance in Å.
Fractional coordinates of all 4 atoms:
1 Co 0.0000 0.0000 0.0000  8 Pt 2.78, 2 Co 2.90
2 Hg 0.5000 0.5000 0.0000  8 Pt 2.78, 2 Hg 2.90
3 Pt 0.0000 0.5000 0.5000  4 Hg 2.78, 4 Co 2.78, 2 Pt 2.90
4 Pt 0.5000 0.0000 0.5000  4 Hg 2.78, 4 Co 2.78, 2 Pt 2.90

Summary:
The value obtained for the size of the total moment is 2.322 μB/f.u. As for the density of states at the Fermi level: 1.438 states/eV/atom. Its energy relative to the elements is 0.9 eV/f.u. Its space group is P4/mmm (123). As for the total energy: -4.64 eV/atom.


DFT (PBE-GGA) results for a geometry-optimized Nb2GaSe4 structure.

Cell lengths 7.5993, 7.5993, 7.5188 Å; angles 119.56, 119.56, 61.13 degrees
Last column: nearest neighbours and their distance in Å.
Fractional coordinates of all 14 atoms:
1 Nb 0.0000 0.0000 0.0000  3 Se 2.52-2.54
2 Nb 0.0020 0.0020 0.3886  3 Se 2.56-2.61
3 Nb 0.4171 0.9766 0.4013  5 Se 2.55-2.84
4 Nb 0.9766 0.4171 0.4013  5 Se 2.55-2.84
5 Ga 0.4787 0.4787 0.3982  4 Se 2.54-2.81, 1 Ga 2.60
6 Ga 0.5932 0.5932 0.8175  4 Se 2.47-2.64, 1 Ga 2.60
7 Se 0.1861 0.7442 0.6694  1 Ga 2.56, 1 Nb 2.83
8 Se 0.2252 0.6920 0.1421  3 Nb 2.52-2.61, 1 Ga 2.54
9 Se 0.2342 0.2342 0.1872  3 Nb 2.54-2.58, 1 Ga 2.63
10 Se 0.2358 0.2358 0.6871  3 Nb 2.55-2.56
11 Se 0.6920 0.2252 0.1421  3 Nb 2.52-2.61, 1 Ga 2.54
12 Se 0.7402 0.7402 0.2164  1 Ga 2.47
13 Se 0.7401 0.7401 0.6821  2 Ga 2.64-2.81, 3 Nb 2.82-2.84
14 Se 0.7442 0.1861 0.6694  1 Ga 2.56, 1 Nb 2.83

Summary:
The value obtained for the raw formation energy is -4.60 eV per formula unit. The value obtained for the size of the total moment is 0.000 μB/f.u. As for the density of states at the Fermi level: 0.435 states/eV/atom. Its space group is Cm (8). As for the total energy: -5.96 eV/atom.


DFT (PBE-GGA) results for a geometry-optimized Li3La2Ni12Ru structure.

Cell lengths 9.4984, 9.4984, 9.4984 Å; angles 36.04, 36.04, 36.04 degrees
Last column: nearest neighbours and their distance in Å.
Fractional coordinates of all 18 atoms:
1 Li 0.0000 0.5000 0.5000  4 Ni 2.27
2 Li 0.5000 0.0000 0.5000  4 Ni 2.27
3 Li 0.5000 0.5000 0.0000  4 Ni 2.27
4 La 0.1463 0.1463 0.1463  12 Ni 2.96-3.24
5 La 0.8537 0.8537 0.8537  12 Ni 2.96-3.24
6 Ni 0.0848 0.0848 0.6894  2 Li 2.27, 4 Ni 2.32-2.36
7 Ni 0.0848 0.6894 0.0848  2 Li 2.27, 4 Ni 2.32-2.36
8 Ni 0.1354 0.5755 0.5755  4 Ni 2.36-2.59, 1 Ru 2.41, 1 Li 2.55
9 Ni 0.3106 0.9152 0.9152  2 Li 2.27, 4 Ni 2.32-2.36
10 Ni 0.4245 0.4245 0.8646  4 Ni 2.36-2.59, 1 Ru 2.41, 1 Li 2.55
11 Ni 0.4245 0.8646 0.4245  4 Ni 2.36-2.59, 1 Ru 2.41, 1 Li 2.55
12 Ni 0.5755 0.1354 0.5755  4 Ni 2.36-2.59, 1 Ru 2.41, 1 Li 2.55
13 Ni 0.5755 0.5755 0.1354  4 Ni 2.36-2.59, 1 Ru 2.41, 1 Li 2.55
14 Ni 0.6894 0.0848 0.0848  2 Li 2.27, 4 Ni 2.32-2.36
15 Ni 0.8646 0.4245 0.4245  4 Ni 2.36-2.59, 1 Ru 2.41, 1 Li 2.55
16 Ni 0.9152 0.3106 0.9152  2 Li 2.27, 4 Ni 2.32-2.36
17 Ni 0.9152 0.9152 0.3106  2 Li 2.27, 4 Ni 2.32-2.36
18 Ru 0.5000 0.5000 0.5000  6 Ni 2.41

Summary:
The value obtained for the size of the total moment is 2.572 μB/f.u. As for the density of states at the Fermi level: 1.380 states/eV/atom. Its energy relative to the elements is 3.3 eV/f.u. Its space group is R-3m (166). As for the total energy: -5.05 eV/atom.